# PuNpPt2

A geometry-optimized PuNpPt2 structure (GGA-PBE, Alexandria).

abc: 3.4921 3.4921 7.0341
angles: 90.00 90.00 90.00
Closest atoms and distances in Å follow each position.
Element x y z (fractional)
Pu1 0.0000 0.0000 0.0000  8 Pt 3.07
Np1 0.0000 0.0000 0.5000  8 Pt 3.00
Pt1 0.5000 0.5000 0.2583  4 Np 3.00, 4 Pu 3.07
Pt2 0.5000 0.5000 0.7417  4 Np 3.00, 4 Pu 3.07

Calculated volume = 21.44 A^3/atom
DFT formation energy = -0.579 eV per atom
Space group = P4/mmm, No. 123